Entry 1:
Computed, not measured: a relaxed Sc2CdO4 crystal at the GGA-PBE level of DFT.

a = 6.370 Å, b = 6.370 Å, c = 6.370 Å
α = 60.00°, β = 60.00°, γ = 60.00°
Positions (direct):
Sc1 0.000 0.000 0.000
Sc2 0.000 0.000 0.500
Sc3 0.000 0.500 0.000
Sc4 0.500 0.000 0.000
Cd1 0.375 0.375 0.375
Cd2 0.625 0.625 0.625
O1 0.203 0.766 0.766
O2 0.234 0.234 0.234
O3 0.234 0.234 0.797
O4 0.234 0.797 0.234
O5 0.766 0.203 0.766
O6 0.766 0.766 0.203
O7 0.766 0.766 0.766
O8 0.797 0.234 0.234

DFT total energy in eV per atom: -7.61

Entry 2:
Computed, not measured: a relaxed DyTlHgSe3 crystal at the GGA-PBE level of DFT.

a = 7.615 Å, b = 7.615 Å, c = 10.962 Å
α = 90.00°, β = 90.00°, γ = 148.15°
Positions (direct):
Dy1 0.000 0.000 0.000
Dy2 0.000 0.000 0.500
Tl1 0.250 0.750 0.750
Tl2 0.750 0.250 0.250
Hg1 0.454 0.546 0.250
Hg2 0.546 0.454 0.750
Se1 0.075 0.925 0.250
Se2 0.366 0.634 0.042
Se3 0.366 0.634 0.458
Se4 0.634 0.366 0.542
Se5 0.634 0.366 0.958
Se6 0.925 0.075 0.750

Relative energy among the computed polymorphs in eV per atom: 0.000

Entry 3:
Computed, not measured: a relaxed Cs2TlNiCl6 crystal at the GGA-PBE level of DFT.

a = 7.450 Å, b = 7.450 Å, c = 7.450 Å
α = 120.41°, β = 120.41°, γ = 89.30°
Positions (direct):
Cs1 0.250 0.750 0.500
Cs2 0.750 0.250 0.500
Tl1 0.000 0.000 0.000
Ni1 0.500 0.500 0.000
Cl1 0.275 0.275 0.550
Cl2 0.275 0.725 0.000
Cl3 0.277 0.277 0.000
Cl4 0.723 0.723 0.000
Cl5 0.725 0.275 0.000
Cl6 0.725 0.725 0.450

DFT total energy in eV per atom: -3.31

Entry 4:
Computed, not measured: a relaxed Y2HoAgHg3Au2 crystal at the GGA-PBE level of DFT.

a = 3.741 Å, b = 7.967 Å, c = 7.967 Å
α = 119.95°, β = 90.00°, γ = 90.00°
Positions (direct):
Y1 0.000 0.201 0.799
Y2 0.000 0.799 0.201
Ho1 0.000 0.396 0.396
Ag1 0.000 0.798 0.798
Hg1 0.500 0.069 0.069
Hg2 0.500 0.528 0.800
Hg3 0.500 0.800 0.528
Au1 0.500 0.134 0.465
Au2 0.500 0.465 0.134

Formation enthalpy at 0 K in kJ/mol of formula units: -511